No. 1
# CaDyAu | Alexandria | PBE | optimized geometry
data_CaDyAu
_cell_length_a 7.085
_cell_length_b 7.085
_cell_length_c 7.085
_cell_angle_alpha 90.00
_cell_angle_beta 90.00
_cell_angle_gamma 90.00
_symmetry_space_group_name_H-M 'F -4 3 m'
_symmetry_Int_Tables_number 216
_symmetry_space_group_name_Hall 'F -4 2 3'
loop_
_atom_site_label
_atom_site_fract_x
_atom_site_fract_y
_atom_site_fract_z
Ca1 0.000 0.000 0.000
Dy1 0.000 0.000 0.500
Au1 0.250 0.250 0.750
# Energy relative to the elements (eV/atom): -0.452

No. 2
# Ca2Dy2Au3 | Alexandria | PBE | optimized geometry
data_Ca2Dy2Au3
_cell_length_a 5.0838
_cell_length_b 5.0838
_cell_length_c 25.0299
_cell_angle_alpha 90.00
_cell_angle_beta 90.00
_cell_angle_gamma 120.00
_symmetry_space_group_name_H-M 'R -3 m'
_symmetry_Int_Tables_number 166
_symmetry_space_group_name_Hall '-R 3 2"'
loop_
_atom_site_label
_atom_site_fract_x
_atom_site_fract_y
_atom_site_fract_z
Ca1 0.0000 0.0000 0.1258
Dy1 0.0000 0.0000 0.3767
Au1 0.0000 0.0000 0.2607
Au2 0.0000 0.0000 0.5000
# Energy relative to the elements (eV/atom): -0.685

No. 3
# Ca4DyAu5 | Alexandria | PBE | optimized geometry
data_Ca4DyAu5
_cell_length_a 3.646
_cell_length_b 3.646
_cell_length_c 18.038
_cell_angle_alpha 90.00
_cell_angle_beta 90.00
_cell_angle_gamma 90.00
_symmetry_space_group_name_H-M 'P 4/m m m'
_symmetry_Int_Tables_number 123
_symmetry_space_group_name_Hall '-P 4 2'
loop_
_atom_site_label
_atom_site_fract_x
_atom_site_fract_y
_atom_site_fract_z
Ca1 0.000 0.000 0.100
Ca2 0.000 0.000 0.300
Dy1 0.000 0.000 0.500
Au1 0.500 0.500 0.000
Au2 0.500 0.500 0.200
Au3 0.500 0.500 0.409
# Energy relative to the elements (eV/atom): -0.807

No. 4
# Ca5DyAu6 | Alexandria | PBE | optimized geometry
data_Ca5DyAu6
_cell_length_a 8.852
_cell_length_b 15.431
_cell_length_c 5.138
_cell_angle_alpha 90.00
_cell_angle_beta 125.10
_cell_angle_gamma 90.00
_symmetry_space_group_name_H-M 'C 1 2/m 1'
_symmetry_Int_Tables_number 12
_symmetry_space_group_name_Hall '-C 2y'
loop_
_atom_site_label
_atom_site_fract_x
_atom_site_fract_y
_atom_site_fract_z
Ca1 0.000 0.000 0.000
Ca2 0.000 0.164 0.500
Ca3 0.000 0.329 0.000
Dy1 0.000 0.500 0.500
Au1 0.230 0.500 0.229
Au2 0.242 0.339 0.741
# Energy relative to the elements (eV/atom): -0.802

No. 5
# CaDy2GaAu4 | Alexandria | PBE | optimized geometry
data_CaDy2GaAu4
_cell_length_a 4.9741
_cell_length_b 4.9741
_cell_length_c 24.5269
_cell_angle_alpha 90.00
_cell_angle_beta 90.00
_cell_angle_gamma 120.00
_symmetry_space_group_name_H-M 'R -3 m'
_symmetry_Int_Tables_number 166
_symmetry_space_group_name_Hall '-R 3 2"'
loop_
_atom_site_label
_atom_site_fract_x
_atom_site_fract_y
_atom_site_fract_z
Ca1 0.0000 0.0000 0.0000
Dy1 0.0000 0.0000 0.2432
Ga1 0.0000 0.0000 0.5000
Au1 0.0000 0.0000 0.1223
Au2 0.0000 0.0000 0.3768
# Energy relative to the elements (eV/atom): -0.739

No. 6
# CaDyGa2Au5 | Alexandria | PBE | optimized geometry
data_CaDyGa2Au5
_cell_length_a 4.496
_cell_length_b 4.496
_cell_length_c 9.034
_cell_angle_alpha 90.00
_cell_angle_beta 90.00
_cell_angle_gamma 90.00
_symmetry_space_group_name_H-M 'P 4/m m m'
_symmetry_Int_Tables_number 123
_symmetry_space_group_name_Hall '-P 4 2'
loop_
_atom_site_label
_atom_site_fract_x
_atom_site_fract_y
_atom_site_fract_z
Ca1 0.000 0.000 0.000
Dy1 0.000 0.000 0.500
Ga1 0.500 0.500 0.366
Au1 0.000 0.500 0.230
Au2 0.500 0.500 0.000
# Energy relative to the elements (eV/atom): -0.533